DFT (PBE) results for crystalline TiBiPd2 at its relaxed geometry.

Space-group type: I-42d
Magnetic moment (μB per formula unit): 0.00
DFT total energy (eV/f.u.): -22.59
Formation enthalpy at 0 K (eV per atom): -0.108
Calculated volume (A^3/atom): 19.63

extended XYZ file:
```
8
Lattice="4.0898 0.0000 0.0000 0.0000 4.0898 0.0000 2.0449 2.0449 9.3868" Properties=species:S:1:pos:R:3 pbc="T T T"
Bi 0.0000 0.0000 0.0000
Bi 4.0898 2.0449 4.6934
Pd 3.0043 1.0224 2.3467
Pd 1.0854 3.0673 2.3467
Pd 3.0673 3.1303 7.0401
Pd 5.1122 5.0492 7.0401
Ti 2.0449 2.0449 0.0000
Ti 2.0449 4.0898 4.6934
```



DFT (PBE) results for crystalline Ti3BiPd at its relaxed geometry.

Space-group type: Pm-3m
Magnetic moment (μB per formula unit): 0.00
DFT total energy (eV/f.u.): -31.33
Formation enthalpy at 0 K (eV per atom): 0.286
Calculated volume (A^3/atom): 22.18

extended XYZ file:
```
5
Lattice="4.8047 0.0000 0.0000 0.0000 4.8047 0.0000 0.0000 0.0000 4.8047" Properties=species:S:1:pos:R:3 pbc="T T T"
Bi 2.4024 2.4024 2.4024
Pd 0.0000 0.0000 0.0000
Ti 0.0000 2.4024 0.0000
Ti 0.0000 0.0000 2.4024
Ti 2.4024 0.0000 0.0000
```



DFT (PBE) results for crystalline Ti6BiPd at its relaxed geometry.

Space-group type: P-6m2
Magnetic moment (μB per formula unit): 0.00
DFT total energy (eV/f.u.): -57.56
Formation enthalpy at 0 K (eV per atom): -0.140
Calculated volume (A^3/atom): 17.59

extended XYZ file:
```
8
Lattice="-2.4648 4.0708 0.8395 0.2104 1.2921 -5.6481 -4.4225 -3.1096 2.0943" Properties=species:S:1:pos:R:3 pbc="T T T"
Ti -1.8220 -1.1874 0.4083
Ti -3.9373 -2.1002 -1.3764
Ti -1.7147 -0.5370 -2.4308
Ti -1.5194 2.3133 -1.7701
Ti -3.6086 1.4118 -3.5328
Ti -1.4159 2.9533 -4.5701
Bi -4.0365 -2.7429 1.4493
Pd -3.7251 0.7594 -0.7111
```



DFT (PBE) results for crystalline TiBi3Pd12 at its relaxed geometry.

Space-group type: P4/mmm
Magnetic moment (μB per formula unit): 0.00
DFT total energy (eV/f.u.): -87.08
Formation enthalpy at 0 K (eV per atom): -0.327
Calculated volume (A^3/atom): 17.09

extended XYZ file:
```
16
Lattice="4.0803 0.0000 0.0000 0.0000 4.0803 0.0000 0.0000 0.0000 16.4273" Properties=species:S:1:pos:R:3 pbc="T T T"
Ti 0.0000 0.0000 0.0000
Bi 0.0000 0.0000 4.0039
Bi 0.0000 0.0000 8.2136
Bi 0.0000 0.0000 12.4234
Pd 2.0402 2.0402 0.0000
Pd 2.0402 2.0402 3.9869
Pd 2.0402 2.0402 8.2136
Pd 2.0402 2.0402 12.4404
Pd 2.0402 0.0000 1.8384
Pd 2.0402 0.0000 6.1017
Pd 2.0402 0.0000 10.3255
Pd 2.0402 0.0000 14.5889
Pd 0.0000 2.0402 1.8384
Pd 0.0000 2.0402 6.1017
Pd 0.0000 2.0402 10.3255
Pd 0.0000 2.0402 14.5889
```



DFT (PBE) results for crystalline TiBiPd at its relaxed geometry.

Space-group type: P3m1
Magnetic moment (μB per formula unit): 0.00
DFT total energy (eV/f.u.): -17.42
Formation enthalpy at 0 K (eV per atom): -0.151
Calculated volume (A^3/atom): 20.03

extended XYZ file:
```
3
Lattice="-2.0059 -2.0535 -1.9596 3.2164 -0.1880 -3.0954 -0.1162 -3.0236 3.2874" Properties=species:S:1:pos:R:3 pbc="T T T"
Bi 0.8353 -2.4335 -2.2087
Pd 0.3470 -2.7414 0.5271
Ti -0.0880 -0.0901 -0.0860
```



DFT (PBE) results for crystalline Ti2BiPd9 at its relaxed geometry.

Space-group type: P4/mmm
Magnetic moment (μB per formula unit): 0.00
DFT total energy (eV/f.u.): -72.41
Formation enthalpy at 0 K (eV per atom): -0.501
Calculated volume (A^3/atom): 16.01

extended XYZ file:
```
12
Lattice="-3.9306 0.5860 0.3993 -0.5645 -3.9470 0.2355 1.2944 0.5288 11.9643" Properties=species:S:1:pos:R:3 pbc="T T T"
Ti 0.4393 0.1795 4.0607
Ti 0.8550 0.3494 7.9036
Bi 0.0000 0.0000 0.0000
Pd -2.2476 -1.6805 0.3174
Pd -1.8071 -1.5005 4.3893
Pd -1.3937 -1.3316 8.2099
Pd -1.7275 0.3902 2.3978
Pd -1.3181 0.5574 6.1818
Pd -0.9088 0.7247 9.9659
Pd -0.0445 -1.8763 2.3159
Pd 0.3649 -1.7091 6.0999
Pd 0.7743 -1.5418 9.8840
```



DFT (PBE) results for crystalline Ti2BiPd7 at its relaxed geometry.

Space-group type: Cmmm
Magnetic moment (μB per formula unit): 0.00
DFT total energy (eV/f.u.): -55.74
Formation enthalpy at 0 K (eV per atom): 0.028
Calculated volume (A^3/atom): 20.40

extended XYZ file:
```
10
Lattice="-2.3570 -2.5786 -2.6033 -1.3364 -4.5593 5.7260 -4.4572 5.7280 -1.6383" Properties=species:S:1:pos:R:3 pbc="T T T"
Ti -3.4702 -2.6994 2.1699
Ti -4.6803 1.2894 -0.6855
Bi 0.0000 0.0000 0.0000
Pd -2.0069 -2.3491 4.1438
Pd -3.7867 3.5178 -0.0560
Pd -2.6438 0.1508 -1.4014
Pd -5.5067 -1.5607 2.8858
Pd -1.9042 -2.2874 0.3440
Pd -6.2464 0.8775 1.1404
Pd -4.0753 -0.7050 0.7422
```



DFT (PBE) results for crystalline TiBiPd at its relaxed geometry.

Space-group type: C2/m
Magnetic moment (μB per formula unit): 0.00
DFT total energy (eV/f.u.): -17.18
Formation enthalpy at 0 K (eV per atom): -0.071
Calculated volume (A^3/atom): 20.30

extended XYZ file:
```
6
Lattice="-1.7996 0.2065 -2.6426 2.5816 -2.2760 -3.8781 -7.4242 -4.4453 2.7662" Properties=species:S:1:pos:R:3 pbc="T T T"
Ti -7.9240 -4.3908 -0.7735
Ti 1.2817 -2.1239 -2.9810
Bi -1.1278 -2.0229 -1.3322
Bi -5.5145 -4.4919 -2.4222
Pd -4.1007 -1.9474 -1.2440
Pd -2.5416 -4.5673 -2.5105
```



DFT (PBE) results for crystalline TiBiPd at its relaxed geometry.

Space-group type: I4/mmm
Magnetic moment (μB per formula unit): 0.88
DFT total energy (eV/f.u.): -18.06
Formation enthalpy at 0 K (eV per atom): -0.363
Calculated volume (A^3/atom): 20.61

extended XYZ file:
```
6
Lattice="4.1834 0.0000 0.0000 0.0000 4.1834 0.0000 -2.0917 -2.0917 7.0643" Properties=species:S:1:pos:R:3 pbc="T T T"
Pd 0.0000 0.0000 1.7948
Pd 2.0917 2.0917 5.2695
Ti 0.0000 2.0917 0.0000
Ti 2.0917 0.0000 0.0000
Bi 2.0917 2.0917 2.2647
Bi 0.0000 0.0000 4.7996
```



DFT (PBE) results for crystalline TiBiPd2 at its relaxed geometry.

Space-group type: P4/mmm
Magnetic moment (μB per formula unit): 0.00
DFT total energy (eV/f.u.): -23.39
Formation enthalpy at 0 K (eV per atom): -0.306
Calculated volume (A^3/atom): 18.00

extended XYZ file:
```
4
Lattice="-2.6500 0.5011 -3.2189 -2.3298 -3.1074 1.4343 -2.2107 2.6909 2.2389" Properties=species:S:1:pos:R:3 pbc="T T T"
Bi -3.5953 0.0423 0.2271
Pd -1.1054 1.3455 1.1195
Pd -1.1649 -1.5537 0.7171
Ti -1.3250 0.2506 -1.6095
```



DFT (PBE) results for crystalline Ti5Bi2Pd at its relaxed geometry.

Space-group type: Cmcm
Magnetic moment (μB per formula unit): 0.27
DFT total energy (eV/f.u.): -52.11
Formation enthalpy at 0 K (eV per atom): 0.040
Calculated volume (A^3/atom): 21.22

extended XYZ file:
```
16
Lattice="3.1344 0.0000 0.0000 -1.5672 8.4978 0.0000 0.0000 0.0000 12.7479" Properties=species:S:1:pos:R:3 pbc="T T T"
Ti 1.5672 6.2096 11.2364
Ti 1.5672 6.2096 7.8854
Ti 0.0000 5.1225 5.6766
Ti 0.0000 5.1225 0.6973
Ti 1.5672 3.8792 3.1870
Ti 0.0000 4.6186 9.5609
Ti 1.5672 3.3753 7.0713
Ti 1.5672 3.3753 12.0505
Ti 0.0000 2.2882 1.5115
Ti 0.0000 2.2882 4.8625
Bi 1.5672 7.6749 5.0242
Bi 1.5672 7.6749 1.3497
Bi 0.0000 0.8229 7.7236
Bi 0.0000 0.8229 11.3982
Pd 1.5672 2.3855 9.5609
Pd 0.0000 6.1123 3.1870
```



DFT (PBE) results for crystalline Ti2BiPd at its relaxed geometry.

Space-group type: P-3m1
Magnetic moment (μB per formula unit): 0.89
DFT total energy (eV/f.u.): -26.11
Formation enthalpy at 0 K (eV per atom): -0.311
Calculated volume (A^3/atom): 21.32

extended XYZ file:
```
8
Lattice="-2.3572 3.5203 1.5393 -1.1239 -4.1835 1.2465 5.9657 0.6657 7.6133" Properties=species:S:1:pos:R:3 pbc="T T T"
Ti 1.7167 -1.2528 5.4938
Ti 0.7679 1.2552 4.9052
Ti 2.0851 0.2327 2.6610
Ti 3.8806 0.4330 4.9523
Bi -1.0814 1.0488 2.5452
Bi 3.5660 -1.0464 7.8538
Pd 2.3653 1.4334 6.9439
Pd 0.1192 -1.4310 3.4552
```



Which of these has the highest DFT total energy?
number 8